[1]
10
Lattice="-3.907 -0.813 -2.577 -3.166 -5.185 2.058 -7.568 4.536 5.666" Properties=species:S:1:pos:R:3 comment="Th2Tl2Cd PBE-GGA optimized geometry" e_tot_ev_per_atom=-4.191 crystal_system=monoclinic formation_energy_mev_per_atom=-93 rho_g_cm3=11.4 pbc="T T T"
Th -8.101 0.955 3.225
Th -2.846 -1.163 0.304
Th -6.540 -2.417 1.922
Th -11.795 -0.299 4.844
Tl -9.904 -1.897 2.481
Tl -11.083 2.263 2.955
Tl -4.737 0.435 2.667
Tl -3.558 -3.725 2.192
Cd -8.767 -1.863 5.124
Cd -5.874 0.401 0.024



[2]
15
Lattice="-5.149 6.870 1.211 -1.346 -5.293 -6.736 -1.683 -2.682 8.053" Properties=species:S:1:pos:R:3 comment="Dy3ScAg3Te8 PBE-GGA optimized geometry" e_tot_ev_per_atom=-4.439 crystal_system=monoclinic formation_energy_uncorrected_ev_per_atom=-0.85 rho_g_cm3=6.8 pbc="T T T"
Ag 0.000 0.000 0.000
Ag -0.673 -2.646 -3.368
Ag -3.248 0.789 -2.762
Dy -4.089 -0.552 1.264
Dy -3.416 2.094 4.632
Dy -1.515 -3.987 0.659
Sc -0.842 -1.341 4.027
Te -5.663 -0.753 -3.750
Te -5.822 0.473 3.597
Te -2.516 -0.351 6.279
Te -5.179 3.202 6.905
Te -5.013 1.802 -0.497
Te -2.356 -1.578 -1.068
Te -3.166 -2.906 3.026
Te -3.000 -4.307 -4.376



[3]
16
Lattice="-7.335 3.809 1.209 0.632 -1.610 8.908 6.299 4.120 -3.622" Properties=species:S:1:pos:R:3 comment="Nd8PRh3Br4 PBE-GGA optimized geometry" e_tot_ev_per_atom=-5.638 crystal_system=trigonal formation_energy_uncorrected_ev_per_atom=-1.12 rho_g_cm3=6.5 pbc="T T T"
Br -0.518 3.965 -1.207
Br 0.000 0.000 0.000
Br -3.667 1.904 0.605
Br 3.149 2.060 -1.811
Nd -2.086 4.596 1.716
Nd 1.596 2.732 1.074
Nd 1.176 5.596 3.600
Nd -1.581 0.723 2.895
Nd -5.163 2.583 3.485
Nd 1.682 1.723 4.779
Nd -2.000 3.587 5.420
Nd 4.759 3.736 3.009
Rh -3.351 1.099 5.058
Rh -0.202 3.159 3.247
Rh 3.465 1.255 2.643
P 0.316 -0.805 4.454



[4]
7
Lattice="-1.524 0.252 4.185 2.992 -3.054 1.274 6.519 7.194 1.939" Properties=species:S:1:pos:R:3 comment="Th2Sb4Au PBE-GGA optimized geometry" e_tot_ev_per_atom=-5.681 crystal_system=tetragonal formation_energy_uncorrected_ev_per_atom=-0.74 rho_g_cm3=9.7 pbc="T T T"
Sb 3.259 3.597 0.970
Sb 3.993 2.196 3.699
Sb 0.334 1.335 2.419
Sb 6.919 4.458 2.250
Au 0.734 -1.401 2.729
Th 4.143 5.540 3.552
Th 3.110 0.254 1.117